No. 1
{"formula": "Pm5PS5", "functional": "PBE", "state": "optimized geometry", "cell": [[-1.2693, -4.8661, 2.7162], [7.9027, -1.4962, 1.0127], [-1.4591, 5.7970, 3.6900]], "species": ["P", "Pm", "Pm", "Pm", "Pm", "Pm", "S", "S", "S", "S", "S"], "frac_coords": [[0.0000, 0.0000, 0.0000], [0.8357, 0.6656, 0.6714], [0.8408, 0.1740, 0.6815], [0.1643, 0.3344, 0.3286], [0.5000, 0.0000, 0.0000], [0.1592, 0.8260, 0.3185], [0.6719, 0.8412, 0.3439], [0.3281, 0.1588, 0.6561], [0.3301, 0.6687, 0.6603], [0.6699, 0.3313, 0.3397], [0.0000, 0.5000, 0.0000]], "spacegroup": "No. 12", "e_form_raw_ev_per_fu": -21.91, "m_tot_mub_per_fu": 0.00, "dos_at_fermi_per_ev_fu": 3.3, "final_energy_ev_per_atom": -6.519}

=====

No. 2
{"formula": "AcNd4Y5", "functional": "PBE", "state": "optimized geometry", "cell": [[3.5593, -0.0003, -0.7232], [-0.1408, 11.3646, -0.6917], [-0.0399, 0.4376, 8.9292]], "species": ["Y", "Y", "Y", "Y", "Y", "Nd", "Nd", "Nd", "Nd", "Ac"], "frac_coords": [[0.1776, 0.9384, 0.3560], [0.5000, 0.5000, 0.0000], [0.1737, 0.5506, 0.3480], [0.8224, 0.0616, 0.6440], [0.8263, 0.4494, 0.6520], [0.0299, 0.7435, 0.0587], [0.9701, 0.2565, 0.9413], [0.6526, 0.2504, 0.3060], [0.3474, 0.7496, 0.6940], [0.5000, 0.0000, 0.0000]], "spacegroup": "No. 12", "m_tot_mub_per_fu": 0.00, "e_form_ev_per_atom": 0.21, "dos_at_fermi_per_ev_fu": 15.5, "e_above_lowest_polymorph_mev_per_atom": 186, "final_energy_ev_per_atom": -5.339}